[1]
Ho4InPt2 (PBE, relaxed); formation energy from the elements = -0.787 eV/atom; space group = No. 166; uncorrected energy = -5.520 eV per atom; DOS(E_F) = 6.30 states/eV/cell
1.0
-2.223 -3.080 2.866
-1.807 -4.026 -1.779
6.899 -6.793 2.002
Pt Ho In
2 4 1
direct
0.400 0.400 0.800
0.600 0.600 0.200
0.298 0.298 0.107
0.702 0.702 0.893
0.113 0.113 0.661
0.887 0.887 0.339
0.500 0.500 0.500

[2]
HoIn2Pt2 (PBE, relaxed); formation energy from the elements = -0.806 eV/atom; space group = No. 164; uncorrected energy = -5.233 eV per atom; DOS(E_F) = 1.96 states/eV/cell
1.0
4.786 0.014 -0.007
2.382 4.151 -0.007
0.009 0.005 5.544
Pt In Ho
2 2 1
direct
0.167 0.667 0.832
0.833 0.333 0.168
0.833 0.333 0.655
0.167 0.667 0.345
0.500 0.000 0.000

[3]
Ho5In4Pt2 (PBE, relaxed); formation energy from the elements = -0.826 eV/atom; space group = No. 55; uncorrected energy = -5.001 eV per atom; DOS(E_F) = 11.03 states/eV/cell
1.0
-1.101 2.014 -2.821
-7.695 -1.273 2.094
0.389 14.870 10.465
Pt In Ho
4 8 10
direct
0.500 0.973 0.696
0.500 0.527 0.196
0.500 0.027 0.304
0.500 0.473 0.804
0.500 0.424 0.352
0.500 0.290 0.067
0.500 0.076 0.852
0.500 0.924 0.148
0.500 0.576 0.648
0.500 0.710 0.933
0.500 0.210 0.567
0.500 0.790 0.433
0.000 0.385 0.915
0.000 0.615 0.085
0.000 0.000 0.000
0.000 0.244 0.220
0.000 0.500 0.500
0.000 0.115 0.415
0.000 0.885 0.585
0.000 0.744 0.280
0.000 0.756 0.780
0.000 0.256 0.720

[4]
HoIn3Pt12 (PBE, relaxed); formation energy from the elements = -0.546 eV/atom; space group = No. 123; uncorrected energy = -5.876 eV per atom; DOS(E_F) = 15.45 states/eV/cell
1.0
4.072 0.000 0.000
0.000 4.072 0.000
0.000 0.000 16.190
Pt Ho In
12 1 3
direct
0.500 0.500 0.252
0.000 0.500 0.128
0.500 0.500 0.000
0.500 0.000 0.128
0.500 0.000 0.872
0.500 0.000 0.376
0.500 0.500 0.500
0.000 0.500 0.872
0.000 0.500 0.624
0.500 0.000 0.624
0.500 0.500 0.748
0.000 0.500 0.376
0.000 0.000 0.000
0.000 0.000 0.252
0.000 0.000 0.500
0.000 0.000 0.748

[5]
HoIn2Pt (PBE, relaxed); formation energy from the elements = -0.003 eV/atom; space group = No. 166; uncorrected energy = -4.027 eV per atom; DOS(E_F) = 3.35 states/eV/cell
1.0
-0.053 -1.056 3.313
-0.437 -3.368 0.744
9.882 -2.837 1.080
Ho In Pt
1 2 1
direct
0.000 0.000 0.000
0.896 0.896 0.312
0.104 0.104 0.688
0.500 0.500 0.500

[6]
Ho11In9Pt4 (PBE, relaxed); formation energy from the elements = -0.797 eV/atom; space group = No. 65; uncorrected energy = -4.929 eV per atom; DOS(E_F) = 13.52 states/eV/cell
1.0
-1.092 1.936 2.900
6.840 -8.029 7.933
7.112 10.296 -4.194
Ho Pt In
11 4 9
direct
0.000 0.627 0.373
0.000 0.309 0.309
0.000 0.691 0.691
0.000 0.415 0.074
0.000 0.840 0.160
0.000 0.373 0.627
0.000 0.160 0.840
0.000 0.926 0.585
0.000 0.000 0.000
0.000 0.585 0.926
0.000 0.074 0.415
0.500 0.551 0.754
0.500 0.246 0.449
0.500 0.449 0.246
0.500 0.754 0.551
0.500 0.844 0.366
0.500 0.366 0.844
0.500 0.929 0.785
0.500 0.156 0.634
0.500 0.500 0.500
0.500 0.785 0.929
0.500 0.634 0.156
0.500 0.215 0.071
0.500 0.071 0.215

[7]
HoIn2Pt (PBE, relaxed); formation energy from the elements = -0.700 eV/atom; space group = No. 62; uncorrected energy = -4.724 eV per atom; DOS(E_F) = 14.18 states/eV/cell
1.0
5.643 0.000 0.000
0.000 7.741 0.000
0.000 0.000 16.418
In Pt Ho
16 8 8
direct
0.737 0.548 0.032
0.024 0.950 0.784
0.976 0.050 0.216
0.763 0.952 0.532
0.763 0.548 0.532
0.737 0.952 0.032
0.476 0.550 0.284
0.024 0.550 0.784
0.263 0.452 0.968
0.524 0.050 0.716
0.263 0.048 0.968
0.524 0.450 0.716
0.237 0.048 0.468
0.237 0.452 0.468
0.976 0.450 0.216
0.476 0.950 0.284
0.260 0.250 0.828
0.520 0.250 0.573
0.480 0.750 0.427
0.240 0.250 0.328
0.980 0.250 0.073
0.760 0.750 0.672
0.740 0.750 0.172
0.020 0.750 0.927
0.535 0.750 0.856
0.738 0.250 0.393
0.965 0.750 0.356
0.465 0.250 0.144
0.762 0.250 0.893
0.035 0.250 0.644
0.262 0.750 0.607
0.238 0.750 0.107

[8]
Ho12InPt7 (PBE, relaxed); formation energy from the elements = -1.034 eV/atom; space group = No. 140; uncorrected energy = -6.032 eV per atom; DOS(E_F) = 31.58 states/eV/cell
1.0
-8.562 2.119 6.410
-1.740 -10.716 -1.010
9.752 2.930 3.898
Ho Pt In
24 14 2
direct
0.177 0.323 0.500
0.352 0.218 0.280
0.867 0.367 0.500
0.367 0.867 0.500
0.323 0.823 0.146
0.072 0.352 0.134
0.938 0.072 0.720
0.218 0.938 0.866
0.148 0.428 0.866
0.782 0.062 0.134
0.428 0.562 0.280
0.633 0.133 0.500
0.677 0.177 0.854
0.062 0.928 0.280
0.282 0.148 0.720
0.823 0.677 0.500
0.928 0.648 0.866
0.562 0.282 0.134
0.133 0.633 0.500
0.852 0.572 0.134
0.438 0.718 0.866
0.572 0.438 0.720
0.718 0.852 0.280
0.648 0.782 0.720
0.479 0.979 0.843
0.128 0.628 0.756
0.872 0.372 0.244
0.372 0.128 0.500
0.521 0.021 0.157
0.864 0.364 0.843
0.021 0.864 0.500
0.628 0.872 0.500
0.636 0.479 0.500
0.979 0.136 0.500
0.250 0.250 0.000
0.750 0.750 0.000
0.136 0.636 0.157
0.364 0.521 0.500
0.000 0.000 0.000
0.500 0.500 0.000

[9]
Ho5In2Pt (PBE, relaxed); formation energy from the elements = -0.588 eV/atom; space group = No. 55; uncorrected energy = -4.889 eV per atom; DOS(E_F) = 12.64 states/eV/cell
1.0
4.821 0.000 0.000
0.000 7.145 0.000
0.000 0.000 12.511
Ho In Pt
10 4 2
direct
0.000 0.872 0.213
0.000 0.000 0.500
0.500 0.677 0.417
0.000 0.372 0.287
0.000 0.628 0.713
0.500 0.177 0.083
0.500 0.823 0.917
0.500 0.323 0.583
0.000 0.128 0.787
0.000 0.500 0.000
0.500 0.902 0.662
0.500 0.402 0.838
0.500 0.598 0.162
0.500 0.098 0.338
0.000 0.000 0.000
0.000 0.500 0.500

[10]
Ho3InPt (PBE, relaxed); distance to the lowest polymorph of the same formula = 0 meV/atom; formation energy from the elements = -0.688 eV/atom; space group = No. 12; uncorrected energy = -5.190 eV per atom; DOS(E_F) = 7.81 states/eV/cell
1.0
0.809 4.354 -3.764
-4.345 3.817 0.567
2.546 8.062 4.030
Ho In Pt
6 2 2
direct
0.704 0.704 0.091
0.922 0.922 0.280
0.698 0.698 0.707
0.302 0.302 0.293
0.296 0.296 0.909
0.078 0.078 0.720
0.705 0.295 0.500
0.295 0.705 0.500
0.745 0.255 0.000
0.255 0.745 0.000

[11]
Ho5In2Ru2Pt (PBE, relaxed); formation energy from the elements = -0.534 eV/atom; space group = No. 127; uncorrected energy = -5.830 eV per atom; DOS(E_F) = 11.17 states/eV/cell
1.0
-2.786 -1.872 -0.946
2.910 -8.238 7.733
-6.385 5.389 8.144
Pt Ru Ho In
2 4 10 4
direct
0.000 0.500 0.500
0.000 0.000 0.000
0.000 0.363 0.137
0.000 0.137 0.637
0.000 0.637 0.863
0.000 0.863 0.363
0.500 0.435 0.302
0.500 0.935 0.198
0.500 0.302 0.565
0.500 0.565 0.698
0.500 0.198 0.065
0.500 0.698 0.435
0.500 0.802 0.935
0.500 0.500 0.000
0.500 0.065 0.802
0.500 0.000 0.500
0.000 0.681 0.181
0.000 0.181 0.319
0.000 0.319 0.819
0.000 0.819 0.681

[12]
HoScInPt (PBE, relaxed); formation energy from the elements = -0.742 eV/atom; space group = No. 216; uncorrected energy = -5.665 eV per atom; DOS(E_F) = 3.37 states/eV/cell
1.0
-2.983 1.183 -3.808
0.495 -2.337 -4.370
-3.492 -3.209 -1.517
Sc In Pt Ho
1 1 1 1
direct
0.500 0.500 0.500
0.250 0.250 0.250
0.750 0.750 0.750
0.000 0.000 0.000